Below is Ca9Sn3N2 after structural relaxation, with properties calculated at the PBE level.

abc: 7.0059 7.0059 8.6073
angles: 90.00 90.00 120.00
Space group P-3m1 (No. 164)
Symmetry-distinct sites (fractional):
1 Ca 0.0000 0.5000 0.0000 x3
2 Ca 0.1751 0.3502 0.6793 x6
3 Sn 0.0000 0.0000 0.0000 x1
4 Sn 0.3333 0.6667 0.3393 x2
5 N 0.3333 0.6667 0.8328 x2

Values from the calculation:
ΔE_f (raw): -0.786 eV/atom
total moment: 0.0670 μB per atom
VASP energy: -4.12 eV per atom